Entry from the Alexandria database: a relaxed Al2Hg2Te crystal (PBE).

POSCAR file:
```
Al2Hg2Te
1.0
-5.5664 -3.8201 3.0526
4.7176 -2.9783 4.8755
-0.7796 3.3969 2.8294
Al Hg Te
4 4 2
Cartesian
-1.8718 -5.1999 5.7271 Al
-2.8934 -2.7931 2.5560 Al
2.0446 -4.0053 5.3720 Al
1.0230 -1.5985 2.2010 Al
-1.3815 -0.0649 3.2586 Hg
-3.4495 -2.4265 5.5239 Hg
1.8211 -0.9750 5.2335 Hg
-0.2469 -3.3365 7.4989 Hg
0.0000 0.0000 0.0000 Te
-0.4244 -3.3992 3.9640 Te
```

DOS(E_F) = 0.289 states/eV per atom
Offset from the most stable computed form = 0.0000 eV/atom
Formation energy (no corrections) = 0.1091 eV/atom
Final energy = -2.14 eV per atom